(1)
Material: Tb2PuHg
Method: DFT, PBE-GGA
State: optimized geometry

Structure (CIF):
```
data_Tb2PuHg
_cell_length_a 3.533
_cell_length_b 3.533
_cell_length_c 8.913
_cell_angle_alpha 90.00
_cell_angle_beta 90.00
_cell_angle_gamma 90.00
_space_group_name_H-M_alt 'P 4/m m m'
_space_group_IT_number 123
_space_group_name_Hall '-P 4 2'
loop_
_atom_site_label
_atom_site_type_symbol
_atom_site_fract_x
_atom_site_fract_y
_atom_site_fract_z
_atom_site_occupancy
Tb1 Tb 0.000 0.000 0.230 1
Pu1 Pu 0.500 0.500 0.500 1
Hg1 Hg 0.500 0.500 0.000 1
```

Polymorph energy (0 for the lowest one): 0 meV/atom
Final energy: -6.111 eV per atom
Energy of formation from the pure elements: -0.138 eV/atom



(2)
Material: Tb2PuHg6
Method: DFT, PBE-GGA
State: optimized geometry

Structure (CIF):
```
data_Tb2PuHg6
_cell_length_a 8.7194
_cell_length_b 8.7194
_cell_length_c 3.3341
_cell_angle_alpha 90.00
_cell_angle_beta 90.00
_cell_angle_gamma 120.00
_space_group_name_H-M_alt 'P 6/m m m'
_space_group_IT_number 191
_space_group_name_Hall '-P 6 2'
loop_
_atom_site_label
_atom_site_type_symbol
_atom_site_fract_x
_atom_site_fract_y
_atom_site_fract_z
_atom_site_occupancy
Tb1 Tb 0.3333 0.6667 0.0000 1
Pu1 Pu 0.0000 0.0000 0.0000 1
Hg1 Hg 0.0000 0.3347 0.5000 1
```

Final energy: -3.135 eV per atom
Energy of formation from the pure elements: -0.313 eV/atom



(3)
Material: Tb3PuHg5
Method: DFT, PBE-GGA
State: optimized geometry

Structure (CIF):
```
data_Tb3PuHg5
_cell_length_a 9.2342
_cell_length_b 9.2342
_cell_length_c 6.2698
_cell_angle_alpha 90.00
_cell_angle_beta 90.00
_cell_angle_gamma 120.00
_space_group_name_H-M_alt 'P 63/m c m'
_space_group_IT_number 193
_space_group_name_Hall '-P 6c 2'
loop_
_atom_site_label
_atom_site_type_symbol
_atom_site_fract_x
_atom_site_fract_y
_atom_site_fract_z
_atom_site_occupancy
Tb1 Tb 0.0000 0.3591 0.2500 1
Pu1 Pu 0.0000 0.0000 0.0000 1
Hg1 Hg 0.0000 0.3100 0.7500 1
Hg2 Hg 0.3333 0.6667 0.0000 1
```

Final energy: -3.651 eV per atom
Energy of formation from the pure elements: -0.348 eV/atom



(4)
Material: Tb3PuHg6
Method: DFT, PBE-GGA
State: optimized geometry

Structure (CIF):
```
data_Tb3PuHg6
_cell_length_a 9.183
_cell_length_b 5.196
_cell_length_c 11.261
_cell_angle_alpha 90.00
_cell_angle_beta 108.25
_cell_angle_gamma 90.00
_space_group_name_H-M_alt 'P 1 21/m 1'
_space_group_IT_number 11
loop_
_space_group_symop_operation_xyz
'x,y,z'
'-x,-y,-z'
'-x,y+1/2,-z'
'x,-y+1/2,z'
loop_
_atom_site_label
_atom_site_type_symbol
_atom_site_fract_x
_atom_site_fract_y
_atom_site_fract_z
_atom_site_occupancy
Tb1 Tb 0.024 0.250 0.381 1
Tb2 Tb 0.146 0.750 0.206 1
Tb3 Tb 0.274 0.250 0.984 1
Pu1 Pu 0.447 0.250 0.592 1
Hg1 Hg 0.031 0.750 0.916 1
Hg2 Hg 0.156 0.250 0.691 1
Hg3 Hg 0.239 0.750 0.498 1
Hg4 Hg 0.338 0.250 0.289 1
Hg5 Hg 0.353 0.750 0.809 1
Hg6 Hg 0.434 0.750 0.110 1
```

Final energy: -3.346 eV per atom
Energy of formation from the pure elements: -0.343 eV/atom



(5)
Material: TbPu3Hg4
Method: DFT, PBE-GGA
State: optimized geometry

Structure (CIF):
```
data_TbPu3Hg4
_cell_length_a 3.308
_cell_length_b 3.308
_cell_length_c 18.454
_cell_angle_alpha 90.00
_cell_angle_beta 90.00
_cell_angle_gamma 90.00
_space_group_name_H-M_alt 'P 4/m m m'
_space_group_IT_number 123
_space_group_name_Hall '-P 4 2'
loop_
_atom_site_label
_atom_site_type_symbol
_atom_site_fract_x
_atom_site_fract_y
_atom_site_fract_z
_atom_site_occupancy
Tb1 Tb 0.000 0.000 0.000 1
Pu1 Pu 0.000 0.000 0.247 1
Pu2 Pu 0.000 0.000 0.500 1
Hg1 Hg 0.500 0.500 0.120 1
Hg2 Hg 0.500 0.500 0.374 1
```

Final energy: -6.294 eV per atom
Energy of formation from the pure elements: -0.190 eV/atom



(6)
Material: Tb4PuHg5
Method: DFT, PBE-GGA
State: optimized geometry

Structure (CIF):
```
data_Tb4PuHg5
_cell_length_a 3.731
_cell_length_b 3.731
_cell_length_c 18.794
_cell_angle_alpha 90.00
_cell_angle_beta 90.00
_cell_angle_gamma 90.00
_space_group_name_H-M_alt 'P 4/m m m'
_space_group_IT_number 123
_space_group_name_Hall '-P 4 2'
loop_
_atom_site_label
_atom_site_type_symbol
_atom_site_fract_x
_atom_site_fract_y
_atom_site_fract_z
_atom_site_occupancy
Tb1 Tb 0.000 0.000 0.099 1
Tb2 Tb 0.000 0.000 0.298 1
Pu1 Pu 0.000 0.000 0.500 1
Hg1 Hg 0.500 0.500 0.000 1
Hg2 Hg 0.500 0.500 0.198 1
Hg3 Hg 0.500 0.500 0.393 1
```

Final energy: -3.839 eV per atom
Energy of formation from the pure elements: -0.403 eV/atom



(7)
Material: TbPu2Hg4
Method: DFT, PBE-GGA
State: optimized geometry

Structure (CIF):
```
data_TbPu2Hg4
_cell_length_a 5.065
_cell_length_b 5.065
_cell_length_c 15.203
_cell_angle_alpha 90.00
_cell_angle_beta 90.00
_cell_angle_gamma 90.00
_space_group_name_H-M_alt 'I 4/m m m'
_space_group_IT_number 139
_space_group_name_Hall '-I 4 2'
loop_
_atom_site_label
_atom_site_type_symbol
_atom_site_fract_x
_atom_site_fract_y
_atom_site_fract_z
_atom_site_occupancy
Tb1 Tb 0.000 0.000 0.000 1
Pu1 Pu 0.000 0.000 0.255 1
Hg1 Hg 0.000 0.500 0.113 1
```

Final energy: -5.073 eV per atom
Energy of formation from the pure elements: -0.144 eV/atom



(8)
Material: Tb2PuHg
Method: DFT, PBE-GGA
State: optimized geometry

Structure (CIF):
```
data_Tb2PuHg
_cell_length_a 3.4509
_cell_length_b 3.4509
_cell_length_c 34.7098
_cell_angle_alpha 90.00
_cell_angle_beta 90.00
_cell_angle_gamma 120.00
_space_group_name_H-M_alt 'R -3 m'
_space_group_IT_number 166
_space_group_name_Hall '-R 3 2"'
loop_
_atom_site_label
_atom_site_type_symbol
_atom_site_fract_x
_atom_site_fract_y
_atom_site_fract_z
_atom_site_occupancy
Tb1 Tb 0.0000 0.0000 0.0950 1
Pu1 Pu 0.0000 0.0000 0.0000 1
Hg1 Hg 0.0000 0.0000 0.5000 1
```

Polymorph energy (0 for the lowest one): 290 meV/atom
Final energy: -5.821 eV per atom
Energy of formation from the pure elements: 0.153 eV/atom